TlCu3O: relaxed, PBE.

a = 4.8726 Å, b = 4.8726 Å, c = 4.8726 Å
α = 90.00°, β = 90.00°, γ = 90.00°
Element x y z (fractional)
Cu: 0.0000 0.5000 0.0000
Cu: 0.0000 0.0000 0.5000
Cu: 0.5000 0.0000 0.0000
O: 0.5000 0.5000 0.5000
Tl: 0.0000 0.0000 0.0000

E_form (uncorrected), eV per atom: 1.457
Polymorph energy (0 for the lowest one), kJ per mole of atoms: 137.3
Theoretical density, g/cm³: 5.90
Calculated total energy, eV per atom: -2.47

***

TlCu3O: relaxed, PBE.

a = 4.1684 Å, b = 4.1684 Å, c = 4.1684 Å
α = 90.00°, β = 90.00°, γ = 90.00°
Element x y z (fractional)
Cu: 0.0000 0.0000 0.5000
Cu: 0.0000 0.5000 0.0000
Cu: 0.5000 0.0000 0.0000
Tl: 0.5000 0.5000 0.5000
O: 0.0000 0.0000 0.0000

E_form (uncorrected), eV per atom: 0.034
Polymorph energy (0 for the lowest one), kJ per mole of atoms: 0.0
Theoretical density, g/cm³: 9.42
Calculated total energy, eV per atom: -3.89

***

Tl3CuO: relaxed, PBE.

a = 5.0907 Å, b = 5.0907 Å, c = 5.0907 Å
α = 90.00°, β = 90.00°, γ = 90.00°
Element x y z (fractional)
Cu: 0.0000 0.0000 0.0000
O: 0.5000 0.5000 0.5000
Tl: 0.0000 0.0000 0.5000
Tl: 0.5000 0.0000 0.0000
Tl: 0.0000 0.5000 0.0000

E_form (uncorrected), eV per atom: 0.359
Polymorph energy (0 for the lowest one), kJ per mole of atoms: 19.5
Theoretical density, g/cm³: 8.72
Calculated total energy, eV per atom: -2.87

***

> Which formula does entry 3 have?

Tl3CuO

***

> The lowest theoretical density belongs to which entry?

number 1